1.
CrMoRu2 | SCAN | PBEsol geometry

abc: 4.275 4.275 4.275
angles: 60.00 60.00 60.00
Fractional coordinates of all 4 atoms:
Cr: 0.000 0.000 0.000
Mo: 0.500 0.500 0.500
Ru: 0.250 0.250 0.250
Ru: 0.750 0.750 0.750

Its symmetry is No. 225. As for the formation energy: 0.078 eV/atom. The value obtained for the mass density is 10.5 g/cm3. The value obtained for the density of states at the Fermi level is 0.83 states/eV per atom. The total moment comes out at 0.933 μB/atom.

2.
CrMoRu2 | SCAN | PBEsol geometry

abc: 4.581 4.581 4.581
angles: 131.03 131.03 71.76
Fractional coordinates of all 4 atoms:
Cr: 0.000 0.000 0.000
Mo: 0.500 0.500 0.000
Ru: 0.250 0.750 0.500
Ru: 0.750 0.250 0.500

Its symmetry is No. 139. As for the formation energy: 0.130 eV/atom. The value obtained for the mass density is 10.9 g/cm3. The value obtained for the density of states at the Fermi level is 1.11 states/eV per atom. The total moment comes out at 0.001 μB/atom.

3.
CrMo2Ru | SCAN | PBEsol geometry

abc: 3.051 4.273 4.298
angles: 90.00 90.00 90.00
Fractional coordinates of all 4 atoms:
Cr: 0.000 0.000 0.000
Mo: 0.000 0.500 0.500
Mo: 0.500 0.500 0.000
Ru: 0.500 0.000 0.500

Its symmetry is No. 47. As for the formation energy: 0.082 eV/atom. The value obtained for the mass density is 10.2 g/cm3. The value obtained for the density of states at the Fermi level is 0.78 states/eV per atom. The total moment comes out at 0.492 μB/atom.

4.
CrMo2Ru | SCAN | PBEsol geometry

abc: 4.732 4.732 4.619
angles: 100.12 100.12 33.36
Fractional coordinates of all 4 atoms:
Cr: 0.000 0.000 0.000
Mo: 0.249 0.249 0.798
Mo: 0.474 0.474 0.485
Ru: 0.722 0.722 0.281

Its symmetry is No. 8. As for the formation energy: 0.268 eV/atom. The value obtained for the mass density is 10.2 g/cm3. The value obtained for the density of states at the Fermi level is 0.95 states/eV per atom. The total moment comes out at 0.000 μB/atom.

5.
Cr4MoRu | SCAN | PBEsol geometry

abc: 4.705 4.705 4.705
angles: 60.00 60.00 60.00
Fractional coordinates of all 6 atoms:
Cr: 0.124 0.124 0.124
Cr: 0.124 0.124 0.629
Cr: 0.124 0.629 0.124
Cr: 0.629 0.124 0.124
Mo: 0.750 0.750 0.750
Ru: 0.500 0.500 0.500

Its symmetry is No. 216. As for the formation energy: 0.107 eV/atom. The value obtained for the mass density is 9.1 g/cm3. The value obtained for the density of states at the Fermi level is 1.06 states/eV per atom. The total moment comes out at 0.000 μB/atom.

6.
CrMoRu2 | SCAN | PBEsol geometry

abc: 8.852 8.852 8.852
angles: 17.37 17.37 17.37
Fractional coordinates of all 4 atoms:
Cr: 0.000 0.000 0.000
Mo: 0.754 0.754 0.754
Ru: 0.258 0.258 0.258
Ru: 0.504 0.504 0.504

Its symmetry is No. 160. As for the formation energy: 0.245 eV/atom. The value obtained for the mass density is 10.8 g/cm3. The value obtained for the density of states at the Fermi level is 0.97 states/eV per atom. The total moment comes out at 0.000 μB/atom.

7.
CrMo2Ru | SCAN | PBEsol geometry

abc: 2.653 2.653 8.056
angles: 90.00 90.00 100.22
Fractional coordinates of all 4 atoms:
Cr: 0.000 0.000 0.000
Mo: 0.000 0.000 0.531
Mo: 0.500 0.500 0.251
Ru: 0.500 0.500 0.789

Its symmetry is No. 35. As for the formation energy: 0.189 eV/atom. The value obtained for the mass density is 10.3 g/cm3. The value obtained for the density of states at the Fermi level is 0.95 states/eV per atom. The total moment comes out at 0.000 μB/atom.

8.
CrMoRu2 | SCAN | PBEsol geometry

abc: 2.656 4.092 5.110
angles: 90.00 104.29 90.00
Fractional coordinates of all 4 atoms:
Cr: 0.000 0.000 0.000
Mo: 0.000 0.000 0.500
Ru: 0.379 0.500 0.235
Ru: 0.621 0.500 0.765

Its symmetry is No. 10. As for the formation energy: 0.154 eV/atom. The value obtained for the mass density is 10.8 g/cm3. The value obtained for the density of states at the Fermi level is 0.88 states/eV per atom. The total moment comes out at 0.000 μB/atom.

9.
CrMo2Ru | SCAN | PBEsol geometry

abc: 2.675 4.180 5.063
angles: 90.00 101.18 90.00
Fractional coordinates of all 4 atoms:
Cr: 0.000 0.000 0.000
Mo: 0.222 0.500 0.757
Mo: 0.778 0.500 0.243
Ru: 0.500 0.000 0.500

Its symmetry is No. 10. As for the formation energy: 0.150 eV/atom. The value obtained for the mass density is 10.3 g/cm3. The value obtained for the density of states at the Fermi level is 0.90 states/eV per atom. The total moment comes out at 0.000 μB/atom.

10.
Cr2TeMoRu | SCAN | PBEsol geometry

abc: 4.457 4.457 5.019
angles: 90.00 90.00 90.00
Fractional coordinates of all 5 atoms:
Cr: 0.000 0.500 0.000
Cr: 0.500 0.000 0.000
Te: 0.000 0.000 0.500
Mo: 0.000 0.000 0.000
Ru: 0.500 0.500 0.500

Its symmetry is No. 123. The value obtained for the mass density is 7.1 g/cm3. The value obtained for the density of states at the Fermi level is 0.81 states/eV per atom. The total moment comes out at 0.798 μB/atom. The calculation puts the formation energy (no corrections) at 1.472 eV/atom.

11.
Cr2SbMo | SCAN | PBEsol geometry

abc: 7.993 7.993 7.993
angles: 21.65 21.65 21.65
Fractional coordinates of all 4 atoms:
Cr: 0.243 0.243 0.243
Cr: 0.757 0.757 0.757
Sb: 0.000 0.000 0.000
Mo: 0.500 0.500 0.500

Its symmetry is No. 166. The value obtained for the mass density is 8.8 g/cm3. The value obtained for the density of states at the Fermi level is 0.77 states/eV per atom. The total moment comes out at 0.971 μB/atom. The calculation puts the formation energy (no corrections) at 0.499 eV/atom.

12.
CrSb2Mo | SCAN | PBEsol geometry

abc: 4.713 4.713 4.713
angles: 60.00 60.00 60.00
Fractional coordinates of all 4 atoms:
Cr: 0.000 0.000 0.000
Sb: 0.500 0.500 0.500
Sb: 0.750 0.750 0.750
Mo: 0.250 0.250 0.250

Its symmetry is No. 216. The value obtained for the mass density is 8.8 g/cm3. The value obtained for the density of states at the Fermi level is 0.35 states/eV per atom. The total moment comes out at 0.490 μB/atom. The calculation puts the formation energy (no corrections) at 0.618 eV/atom.

13.
CrSb2Mo | SCAN | PBEsol geometry

abc: 4.601 4.601 3.269
angles: 90.00 90.00 90.00
Fractional coordinates of all 4 atoms:
Cr: 0.000 0.000 0.000
Sb: 0.000 0.500 0.500
Sb: 0.500 0.000 0.500
Mo: 0.500 0.500 0.000

Its symmetry is No. 123. The value obtained for the mass density is 9.4 g/cm3. The value obtained for the density of states at the Fermi level is 0.65 states/eV per atom. The total moment comes out at 0.604 μB/atom. The calculation puts the formation energy (no corrections) at 0.296 eV/atom.

14.
Cr2SbMo | SCAN | PBEsol geometry

abc: 5.001 5.001 5.001
angles: 136.51 136.51 63.19
Fractional coordinates of all 4 atoms:
Cr: 0.000 0.000 0.000
Cr: 0.750 0.250 0.500
Sb: 0.250 0.750 0.500
Mo: 0.500 0.500 0.000

Its symmetry is No. 119. The value obtained for the mass density is 9.1 g/cm3. The value obtained for the density of states at the Fermi level is 0.67 states/eV per atom. The total moment comes out at 0.226 μB/atom. The calculation puts the formation energy (no corrections) at 0.181 eV/atom.

15.
ScCrMo | SCAN | PBEsol geometry

abc: 4.244 4.244 4.244
angles: 60.00 60.00 60.00
Fractional coordinates of all 3 atoms:
Sc: 0.000 0.000 0.000
Cr: 0.500 0.500 0.500
Mo: 0.250 0.250 0.250

Its symmetry is No. 216. As for the formation energy: 0.711 eV/atom. The value obtained for the mass density is 5.9 g/cm3. The value obtained for the density of states at the Fermi level is 0.92 states/eV per atom. The total moment comes out at 0.509 μB/atom.

16.
Sc2CrMo | SCAN | PBEsol geometry

abc: 3.080 3.080 7.485
angles: 90.00 90.00 90.00
Fractional coordinates of all 4 atoms:
Sc: 0.000 0.000 0.000
Sc: 0.500 0.500 0.354
Cr: 0.000 0.000 0.585
Mo: 0.500 0.500 0.756

Its symmetry is No. 99. As for the formation energy: 0.111 eV/atom. The value obtained for the mass density is 5.6 g/cm3. The value obtained for the density of states at the Fermi level is 0.78 states/eV per atom. The total moment comes out at 0.026 μB/atom.

17.
Sc2CrMo | SCAN | PBEsol geometry

abc: 4.620 4.620 3.274
angles: 90.00 90.00 90.00
Fractional coordinates of all 4 atoms:
Sc: 0.000 0.500 0.000
Sc: 0.500 0.000 0.000
Cr: 0.000 0.000 0.500
Mo: 0.500 0.500 0.500

Its symmetry is No. 123. As for the formation energy: 0.246 eV/atom. The value obtained for the mass density is 5.7 g/cm3. The value obtained for the density of states at the Fermi level is 1.13 states/eV per atom. The total moment comes out at 1.264 μB/atom.

18.
CrMoSe | SCAN | PBEsol geometry

abc: 4.064 4.064 2.901
angles: 90.00 90.00 120.00
Fractional coordinates of all 3 atoms:
Cr: 0.000 0.000 0.000
Mo: 0.667 0.333 0.500
Se: 0.333 0.667 0.000

Its symmetry is No. 187. The value obtained for the mass density is 9.1 g/cm3. The value obtained for the density of states at the Fermi level is 0.59 states/eV per atom. The total moment comes out at 0.000 μB/atom. The calculation puts the formation energy (no corrections) at 0.285 eV/atom.

19.
CrMoSe | SCAN | PBEsol geometry

abc: 5.198 5.198 5.198
angles: 147.23 147.23 47.02
Fractional coordinates of all 3 atoms:
Cr: 0.000 0.000 0.000
Mo: 0.682 0.682 0.000
Se: 0.366 0.366 0.000

Its symmetry is No. 107. The value obtained for the mass density is 9.2 g/cm3. The value obtained for the density of states at the Fermi level is 0.71 states/eV per atom. The total moment comes out at 0.000 μB/atom. The calculation puts the formation energy (no corrections) at 0.318 eV/atom.

20.
CrMo2Se | SCAN | PBEsol geometry

abc: 3.622 3.622 4.502
angles: 90.00 90.00 90.00
Fractional coordinates of all 4 atoms:
Cr: 0.000 0.000 0.000
Mo: 0.000 0.500 0.500
Mo: 0.500 0.000 0.500
Se: 0.500 0.500 0.000

Its symmetry is No. 123. The value obtained for the mass density is 9.1 g/cm3. The value obtained for the density of states at the Fermi level is 0.76 states/eV per atom. The total moment comes out at 0.624 μB/atom. The calculation puts the formation energy (no corrections) at 0.365 eV/atom.